DFT (PBE) results for crystalline GaSi2Rh8 at its relaxed geometry.

The structure in CIF format:
```
data_GaSi2Rh8
_cell_length_a 7.0529
_cell_length_b 7.0529
_cell_length_c 7.0529
_cell_angle_alpha 147.55
_cell_angle_beta 123.40
_cell_angle_gamma 66.77
_symmetry_space_group_name_H-M 'P 1'
_symmetry_Int_Tables_number 1
loop_
_symmetry_equiv_pos_as_xyz
'x,y,z'
loop_
_atom_site_label
_atom_site_fract_x
_atom_site_fract_y
_atom_site_fract_z
_atom_site_occupancy
Ga1 0.0000 0.0000 0.0000 1
Si1 0.3032 0.3032 0.0000 1
Si2 0.6968 0.6968 0.0000 1
Rh1 0.1212 0.8368 0.2844 1
Rh2 0.1426 0.6426 0.5000 1
Rh3 0.3110 0.5000 0.8110 1
Rh4 0.4475 0.1632 0.2844 1
Rh5 0.5525 0.8368 0.7156 1
Rh6 0.6890 0.5000 0.1890 1
Rh7 0.8574 0.3574 0.5000 1
Rh8 0.8788 0.1632 0.7156 1
```

Properties
Energy relative to the elements, uncorrected: -0.42 eV per atom
Raw total energy: -7.02 eV per atom

DFT (PBE) results for crystalline Rb2PbI4 at its relaxed geometry.

The structure in CIF format:
```
data_Rb2PbI4
_cell_length_a 6.3374
_cell_length_b 6.3374
_cell_length_c 18.7460
_cell_angle_alpha 90.00
_cell_angle_beta 90.00
_cell_angle_gamma 90.00
_symmetry_space_group_name_H-M 'P 1'
_symmetry_Int_Tables_number 1
loop_
_symmetry_equiv_pos_as_xyz
'x,y,z'
loop_
_atom_site_label
_atom_site_fract_x
_atom_site_fract_y
_atom_site_fract_z
_atom_site_occupancy
Rb1 0.0000 0.0000 0.1365 1
Rb2 0.0000 0.0000 0.8635 1
Rb3 0.5000 0.5000 0.3635 1
Rb4 0.5000 0.5000 0.6365 1
Pb1 0.0000 0.0000 0.5000 1
Pb2 0.5000 0.5000 0.0000 1
I1 0.0000 0.0000 0.3286 1
I2 0.0000 0.0000 0.6714 1
I3 0.0000 0.5000 0.0000 1
I4 0.0000 0.5000 0.5000 1
I5 0.5000 0.0000 0.0000 1
I6 0.5000 0.0000 0.5000 1
I7 0.5000 0.5000 0.1714 1
I8 0.5000 0.5000 0.8286 1
```

Properties
Energy relative to the elements, uncorrected: -1.09 eV per atom
E above lowest polymorph: 49 meV/atom
Raw total energy: -2.78 eV per atom

DFT (PBE) results for crystalline ZrInCl2 at its relaxed geometry.

The structure in CIF format:
```
data_ZrInCl2
_cell_length_a 4.9505
_cell_length_b 3.3426
_cell_length_c 11.7845
_cell_angle_alpha 90.00
_cell_angle_beta 90.00
_cell_angle_gamma 90.00
_symmetry_space_group_name_H-M 'P 1'
_symmetry_Int_Tables_number 1
loop_
_symmetry_equiv_pos_as_xyz
'x,y,z'
loop_
_atom_site_label
_atom_site_fract_x
_atom_site_fract_y
_atom_site_fract_z
_atom_site_occupancy
Zr1 0.0000 0.0000 0.0000 1
Zr2 0.0000 0.5000 0.5000 1
In1 0.5000 0.0000 0.3773 1
In2 0.5000 0.5000 0.8773 1
Cl1 0.0000 0.0000 0.6677 1
Cl2 0.0000 0.5000 0.1677 1
Cl3 0.5000 0.0000 0.0828 1
Cl4 0.5000 0.5000 0.5828 1
```

Properties
Energy relative to the elements, uncorrected: -0.82 eV per atom
E above lowest polymorph: 226 meV/atom
Raw total energy: -4.56 eV per atom

DFT (PBE) results for crystalline KNiB2 at its relaxed geometry.

The structure in CIF format:
```
data_KNiB2
_cell_length_a 5.9759
_cell_length_b 5.9759
_cell_length_c 5.9759
_cell_angle_alpha 90.00
_cell_angle_beta 90.00
_cell_angle_gamma 90.00
_symmetry_space_group_name_H-M 'P 1'
_symmetry_Int_Tables_number 1
loop_
_symmetry_equiv_pos_as_xyz
'x,y,z'
loop_
_atom_site_label
_atom_site_fract_x
_atom_site_fract_y
_atom_site_fract_z
_atom_site_occupancy
K1 0.0000 0.0000 0.0000 1
K2 0.0000 0.5000 0.5000 1
K3 0.5000 0.0000 0.5000 1
K4 0.5000 0.5000 0.0000 1
Ni1 0.0000 0.0000 0.5000 1
Ni2 0.0000 0.5000 0.0000 1
Ni3 0.5000 0.0000 0.0000 1
Ni4 0.5000 0.5000 0.5000 1
B1 0.2500 0.2500 0.2500 1
B2 0.2500 0.2500 0.7500 1
B3 0.2500 0.7500 0.2500 1
B4 0.2500 0.7500 0.7500 1
B5 0.7500 0.2500 0.2500 1
B6 0.7500 0.2500 0.7500 1
B7 0.7500 0.7500 0.2500 1
B8 0.7500 0.7500 0.7500 1
```

Properties
E above lowest polymorph: 1269 meV/atom
Raw total energy: -3.24 eV per atom
Energy relative to the elements: 1.82 eV/atom

DFT (PBE) results for crystalline Sr3Sb4Pd2 at its relaxed geometry.

The structure in CIF format:
```
data_Sr3Sb4Pd2
_cell_length_a 6.5353
_cell_length_b 6.5353
_cell_length_c 9.1196
_cell_angle_alpha 99.56
_cell_angle_beta 99.56
_cell_angle_gamma 43.60
_symmetry_space_group_name_H-M 'P 1'
_symmetry_Int_Tables_number 1
loop_
_symmetry_equiv_pos_as_xyz
'x,y,z'
loop_
_atom_site_label
_atom_site_fract_x
_atom_site_fract_y
_atom_site_fract_z
_atom_site_occupancy
Sr1 0.0000 0.0000 0.0000 1
Sr2 0.3423 0.3423 0.3394 1
Sr3 0.6577 0.6577 0.6606 1
Sb1 0.0644 0.0644 0.3790 1
Sb2 0.2802 0.2802 0.9298 1
Sb3 0.7198 0.7198 0.0702 1
Sb4 0.9356 0.9356 0.6210 1
Pd1 0.3941 0.3941 0.7123 1
Pd2 0.6059 0.6059 0.2877 1
```

Properties
Energy relative to the elements, uncorrected: -0.83 eV per atom
E above lowest polymorph: 0 meV/atom
Raw total energy: -4.37 eV per atom

DFT (PBE) results for crystalline PuTeN at its relaxed geometry.

The structure in CIF format:
```
data_PuTeN
_cell_length_a 3.2049
_cell_length_b 3.2049
_cell_length_c 12.3730
_cell_angle_alpha 90.00
_cell_angle_beta 90.00
_cell_angle_gamma 90.00
_symmetry_space_group_name_H-M 'P 1'
_symmetry_Int_Tables_number 1
loop_
_symmetry_equiv_pos_as_xyz
'x,y,z'
loop_
_atom_site_label
_atom_site_fract_x
_atom_site_fract_y
_atom_site_fract_z
_atom_site_occupancy
Pu1 0.0000 0.0000 0.0000 1
Pu2 0.5000 0.5000 0.5000 1
Te1 0.0000 0.0000 0.2676 1
Te2 0.5000 0.5000 0.7676 1
N1 0.0000 0.0000 0.5372 1
N2 0.5000 0.5000 0.0372 1
```

Properties
Energy relative to the elements, uncorrected: -0.63 eV per atom
E above lowest polymorph: 416 meV/atom
Raw total energy: -9.23 eV per atom